[1]
A crystal of BaAg2Pb relaxed with PBEsol, computed with SCAN.

Cell lengths 4.8110, 4.8110, 17.1282 Å; angles 90.00, 90.00, 120.00 degrees
Space group R3m (No. 160, hexagonal axes)
One atom of each set of equivalent atoms:
Ba  0.0000  0.0000  0.0000
Ag  0.0000  0.0000  0.1985
Ag  0.0000  0.0000  0.5200
Pb  0.0000  0.0000  0.7960

Computed properties:
total magnetization: 0.004 μB/f.u.
E_form: -0.28 eV/atom
energy: -44.80 eV/atom
V: 28.616 Å³ per atom

---

[2]
A crystal of Ba2AgPb relaxed with PBEsol, computed with SCAN.

Cell lengths 4.024, 4.024, 8.653 Å; angles 90.00, 90.00, 90.00 degrees
Space group P4/mmm (No. 123)
One atom of each set of equivalent atoms:
Ba  0.000  0.000  0.238
Ag  0.500  0.500  0.000
Pb  0.500  0.500  0.500

Computed properties:
total magnetization: 0.000 μB/f.u.
E_form: -0.51 eV/atom
energy: -47.07 eV/atom
V: 35.027 Å³ per atom

---

[3]
A crystal of Ba2AgPb relaxed with PBEsol, computed with SCAN.

Cell lengths 4.4350, 4.4350, 27.9832 Å; angles 90.00, 90.00, 120.00 degrees
Space group R-3m (No. 166, hexagonal axes)
One atom of each set of equivalent atoms:
Ba  0.0000  0.0000  0.2449
Ag  0.0000  0.0000  0.5000
Pb  0.0000  0.0000  0.0000

Computed properties:
total magnetization: 0.000 μB/f.u.
E_form: -0.31 eV/atom
energy: -46.87 eV/atom
V: 39.722 Å³ per atom

---

[4]
A crystal of BaAgPb relaxed with PBEsol, computed with SCAN.

Cell lengths 7.340, 7.340, 7.340 Å; angles 90.00, 90.00, 90.00 degrees
Space group F-43m (No. 216)
One atom of each set of equivalent atoms:
Ba  0.000  0.000  0.000
Ag  0.250  0.250  0.250
Pb  0.000  0.000  0.500

Computed properties:
total magnetization: 0.001 μB/f.u.
E_form: -0.34 eV/atom
energy: -49.24 eV/atom
V: 32.947 Å³ per atom

---

[5]
A crystal of BaRe2AgPb relaxed with PBEsol, computed with SCAN.

Cell lengths 5.155, 5.155, 5.165 Å; angles 90.00, 90.00, 90.00 degrees
Space group P4/mmm (No. 123)
One atom of each set of equivalent atoms:
Ba  0.000  0.000  0.000
Re  0.000  0.500  0.500
Ag  0.500  0.500  0.000
Pb  0.500  0.500  0.500

Computed properties:
total magnetization: 4.037 μB/f.u.
E_form: 1.79 eV/atom
energy: -55.99 eV/atom
V: 27.457 Å³ per atom

---

[6]
A crystal of Ba3AgPd relaxed with PBEsol, computed with SCAN.

Cell lengths 6.113, 6.113, 6.113 Å; angles 90.00, 90.00, 90.00 degrees
Space group Pm-3m (No. 221)
One atom of each set of equivalent atoms:
Ba  0.000  0.000  0.500
Ag  0.000  0.000  0.000
Pd  0.500  0.500  0.500

Computed properties:
total magnetization: 0.000 μB/f.u.
E_form: 0.20 eV/atom
energy: -36.36 eV/atom
V: 45.684 Å³ per atom

---

[7]
A crystal of Ba2AgPd relaxed with PBEsol, computed with SCAN.

Cell lengths 7.803, 7.803, 7.803 Å; angles 90.00, 90.00, 90.00 degrees
Space group Fm-3m (No. 225)
One atom of each set of equivalent atoms:
Ba  0.250  0.250  0.250
Ag  0.000  0.000  0.000
Pd  0.000  0.000  0.500

Computed properties:
total magnetization: 0.001 μB/f.u.
E_form: -0.37 eV/atom
energy: -36.18 eV/atom
V: 29.688 Å³ per atom

---

[8]
A crystal of BaAg2Pd relaxed with PBEsol, computed with SCAN.

Cell lengths 7.158, 7.158, 7.158 Å; angles 90.00, 90.00, 90.00 degrees
Space group Fm-3m (No. 225)
One atom of each set of equivalent atoms:
Ba  0.000  0.000  0.000
Ag  0.250  0.250  0.250
Pd  0.000  0.000  0.500

Computed properties:
total magnetization: 0.000 μB/f.u.
E_form: 0.06 eV/atom
energy: -33.70 eV/atom
V: 22.927 Å³ per atom